# 1
An optimized crystal structure of InCoCu2, computed with PBE-GGA.

The space group is R3m (No. 160, hexagonal axes) and the conventional cell measures 2.8567, 2.8567 and 24.7698 Å, with angles of 90.00, 90.00 and 120.00 degrees. The asymmetric unit holds In at (0.0000, 0.0000, 0.0000), Co at (0.0000, 0.0000, 0.7532), Cu at (0.0000, 0.0000, 0.2405) and Cu at (0.0000, 0.0000, 0.4962).

Its density of states at the Fermi level is 2.9 states/eV/f.u. The value obtained for the size of the total moment is 3.93 μB per cell. The energy is -49.7 eV/cell. The value obtained for the mass density is 8561 kg/m³. As for the energy relative to the elements: 0.36 eV per atom.

# 2
An optimized crystal structure of PuHg3, computed with PBE-GGA.

The space group is Pm-3m (No. 221) and the conventional cell measures 4.6987, 4.6987 and 4.6987 Å, with angles of 90.00, 90.00 and 90.00 degrees. The asymmetric unit holds Pu at (0.0000, 0.0000, 0.0000) and Hg at (0.0000, 0.5000, 0.5000).

Its density of states at the Fermi level is 14.6 states/eV/f.u. The value obtained for the size of the total moment is 6.53 μB per cell. The energy is -15.6 eV/cell. The value obtained for the mass density is 13539 kg/m³. As for the energy relative to the elements: -0.10 eV per atom.

# 3
An optimized crystal structure of NdMg2Tl2, computed with PBE-GGA.

The space group is I4/mmm (No. 139) and the conventional cell measures 4.5588, 4.5588 and 12.8283 Å, with angles of 90.00, 90.00 and 90.00 degrees. The asymmetric unit holds Nd at (0.0000, 0.0000, 0.0000), Mg at (0.0000, 0.5000, 0.2500) and Tl at (0.0000, 0.0000, 0.3884).

Its density of states at the Fermi level is 2.5 states/eV/f.u. The value obtained for the size of the total moment is 0.00 μB per cell. The energy is -27.3 eV/cell. The value obtained for the mass density is 7494 kg/m³. As for the energy relative to the elements: -0.19 eV per atom.

# 4
An optimized crystal structure of FeMo2, computed with PBE-GGA.

The space group is P6_3/mmc (No. 194) and the conventional cell measures 4.3344, 4.3344 and 5.2358 Å, with angles of 90.00, 90.00 and 120.00 degrees. The asymmetric unit holds Fe at (0.3333, 0.6667, 0.2500), Mo at (0.0000, 0.0000, 0.0000) and Mo at (0.3333, 0.6667, 0.7500).

Its density of states at the Fermi level is 4.8 states/eV/f.u. The value obtained for the size of the total moment is 1.80 μB per cell. The energy is -58.7 eV/cell. The value obtained for the mass density is 9658 kg/m³. As for the energy relative to the elements: 0.25 eV per atom.

Among the records above, which one has the highest energy? PuHg3

Among the records above, which one has the highest mass density? PuHg3

Look up the energy relative to the elements of the first one. 0.36 eV per atom

Among the records above, which one has the lowest mass density? NdMg2Tl2